Record 1
DFT (PBEsol) results for Fe3BiAs after structural relaxation.

Output
Polymorph energy (0 for the lowest one)   1168 meV per atom
E_form   1.79 eV per atom

Cell lengths 4.7923, 4.7923, 4.7923 Å; angles 90.00, 90.00, 90.00 degrees
With the nearest neighbours (Å) after each atom.
Space group Pm-3m (No. 221)
Unique sites:
Fe 0.0000 0.0000 0.5000 (multiplicity 3)  2 Bi 2.40
Bi 0.0000 0.0000 0.0000 (multiplicity 1)  6 Fe 2.40
As 0.5000 0.5000 0.5000 (multiplicity 1)  12 Fe 3.39

***

Record 2
DFT (PBEsol) results for FeBiAs2 after structural relaxation.

Output
E_form   0.23 eV per atom

Cell lengths 5.8682, 5.8682, 11.1587 Å; angles 90.00, 90.00, 90.00 degrees
With the nearest neighbours (Å) after each atom.
Space group I-42d (No. 122)
Unique sites:
Fe 0.0000 0.0000 0.0000 (multiplicity 4)  4 As 2.23
Bi 0.0000 0.0000 0.5000 (multiplicity 4)  4 As 2.84
As 0.1603 0.2500 0.1250 (multiplicity 8)  2 Fe 2.23

***

Record 3
DFT (PBEsol) results for Fe3BiAs after structural relaxation.

Output
Polymorph energy (0 for the lowest one)   0 meV per atom
E_form   0.62 eV per atom

Cell lengths 4.3918, 4.3918, 4.3918 Å; angles 90.00, 90.00, 90.00 degrees
With the nearest neighbours (Å) after each atom.
Space group Pm-3m (No. 221)
Unique sites:
Fe 0.0000 0.0000 0.5000 (multiplicity 3)  2 As 2.20
Bi 0.5000 0.5000 0.5000 (multiplicity 1)  12 Fe 3.11
As 0.0000 0.0000 0.0000 (multiplicity 1)  6 Fe 2.20

***

Record 4
DFT (PBEsol) results for FeBi2As2 after structural relaxation.

Output
E_form   0.13 eV per atom

Cell lengths 6.1942, 6.1942, 5.9281 Å; angles 90.00, 90.00, 90.00 degrees
With the nearest neighbours (Å) after each atom.
Space group P4/mbm (No. 127)
Unique sites:
Fe 0.0000 0.0000 0.0000 (multiplicity 2)  4 As 2.37
Bi 0.1969 0.3031 0.5000 (multiplicity 4)  2 As 3.00, 4 Bi 3.17
As 0.1462 0.3538 0.0000 (multiplicity 4)  2 Fe 2.37, 1 As 2.56